No. 1
Below is crystalline Th2ZrTl3 at its relaxed geometry, with properties calculated at the PBE-GGA level.

Geometry as CIF:
```
data_Th2ZrTl3
_symmetry_space_group_name_H-M 'P 4/m m m'
_symmetry_Int_Tables_number 123
_symmetry_space_group_name_Hall '-P 4 2'
_cell_length_a 3.478
_cell_length_b 3.478
_cell_length_c 13.397
_cell_angle_alpha 90.00
_cell_angle_beta 90.00
_cell_angle_gamma 90.00
loop_
_atom_site_label
_atom_site_fract_x
_atom_site_fract_y
_atom_site_fract_z
Th1 0.000 0.000 0.176
Zr1 0.000 0.000 0.500
Tl1 0.500 0.500 0.000
Tl2 0.500 0.500 0.351
```

Results
ρ	12.0	g/cm³
DFT total energy	-5.1732	eV/atom
formation energy from the elements	-0.09	eV/atom

---

No. 2
Below is crystalline Th3Zr12Tl5 at its relaxed geometry, with properties calculated at the PBE-GGA level.

Geometry as CIF:
```
data_Th3Zr12Tl5
_symmetry_space_group_name_H-M 'I a -3 d'
_symmetry_Int_Tables_number 230
_symmetry_space_group_name_Hall '-I 4bd 2c 3'
_cell_length_a 17.285
_cell_length_b 17.285
_cell_length_c 17.285
_cell_angle_alpha 90.00
_cell_angle_beta 90.00
_cell_angle_gamma 90.00
loop_
_atom_site_label
_atom_site_fract_x
_atom_site_fract_y
_atom_site_fract_z
Th1 0.000 0.250 0.125
Zr1 0.004 0.075 0.650
Tl1 0.000 0.000 0.000
Tl2 0.000 0.250 0.375
```

Results
ρ	7.2	g/cm³
DFT total energy	-5.9849	eV/atom
formation energy from the elements	0.85	eV/atom

---

No. 3
Below is crystalline ThZr2Tl at its relaxed geometry, with properties calculated at the PBE-GGA level.

Geometry as CIF:
```
data_ThZr2Tl
_symmetry_space_group_name_H-M 'P 4/m m m'
_symmetry_Int_Tables_number 123
_symmetry_space_group_name_Hall '-P 4 2'
_cell_length_a 3.734
_cell_length_b 3.734
_cell_length_c 7.102
_cell_angle_alpha 90.00
_cell_angle_beta 90.00
_cell_angle_gamma 90.00
loop_
_atom_site_label
_atom_site_fract_x
_atom_site_fract_y
_atom_site_fract_z
Th1 0.000 0.000 0.000
Zr1 0.500 0.500 0.266
Tl1 0.000 0.000 0.500
```

Results
polymorph energy (0 for the lowest one)	11	kJ/mol of formula units
ρ	10.4	g/cm³
DFT total energy	-6.7351	eV/atom
formation energy from the elements	-0.01	eV/atom

---

No. 4
Below is crystalline TmTh at its relaxed geometry, with properties calculated at the PBE-GGA level.

Geometry as CIF:
```
data_TmTh
_symmetry_space_group_name_H-M 'P m -3 m'
_symmetry_Int_Tables_number 221
_symmetry_space_group_name_Hall '-P 4 2 3'
_cell_length_a 3.969
_cell_length_b 3.969
_cell_length_c 3.969
_cell_angle_alpha 90.00
_cell_angle_beta 90.00
_cell_angle_gamma 90.00
loop_
_atom_site_label
_atom_site_fract_x
_atom_site_fract_y
_atom_site_fract_z
Tm1 0.000 0.000 0.000
Th1 0.500 0.500 0.500
```

Results
polymorph energy (0 for the lowest one)	18	kJ/mol of formula units
ρ	10.7	g/cm³
DFT total energy	-5.8226	eV/atom
formation energy from the elements	0.12	eV/atom

---

No. 5
Below is crystalline Tm3Th at its relaxed geometry, with properties calculated at the PBE-GGA level.

Geometry as CIF:
```
data_Tm3Th
_symmetry_space_group_name_H-M 'F m -3 m'
_symmetry_Int_Tables_number 225
_symmetry_space_group_name_Hall '-F 4 2 3'
_cell_length_a 7.919
_cell_length_b 7.919
_cell_length_c 7.919
_cell_angle_alpha 90.00
_cell_angle_beta 90.00
_cell_angle_gamma 90.00
loop_
_atom_site_label
_atom_site_fract_x
_atom_site_fract_y
_atom_site_fract_z
Tm1 0.000 0.000 0.000
Tm2 0.250 0.250 0.250
Th1 0.000 0.000 0.500
```

Results
polymorph energy (0 for the lowest one)	41	kJ/mol of formula units
ρ	9.9	g/cm³
DFT total energy	-5.0763	eV/atom
formation energy from the elements	0.13	eV/atom

---

No. 6
Below is crystalline Tm3Th at its relaxed geometry, with properties calculated at the PBE-GGA level.

Geometry as CIF:
```
data_Tm3Th
_symmetry_space_group_name_H-M 'P m m 2'
_symmetry_Int_Tables_number 25
_cell_length_a 3.578
_cell_length_b 5.677
_cell_length_c 6.112
_cell_angle_alpha 90.00
_cell_angle_beta 90.00
_cell_angle_gamma 90.00
loop_
_symmetry_equiv_pos_as_xyz
'x,y,z'
'-x,-y,z'
'-x,y,z'
'x,-y,z'
loop_
_atom_site_label
_atom_site_fract_x
_atom_site_fract_y
_atom_site_fract_z
Tm1 0.000 0.000 0.000
Tm2 0.000 0.500 0.340
Tm3 0.500 0.500 0.833
Th1 0.500 0.000 0.488
```

Results
polymorph energy (0 for the lowest one)	5	kJ/mol of formula units
ρ	9.9	g/cm³
DFT total energy	-5.1693	eV/atom
formation energy from the elements	0.04	eV/atom

---

No. 7
Below is crystalline Tm4Th5 at its relaxed geometry, with properties calculated at the PBE-GGA level.

Geometry as CIF:
```
data_Tm4Th5
_symmetry_space_group_name_H-M 'I 4/m m m'
_symmetry_Int_Tables_number 139
_symmetry_space_group_name_Hall '-I 4 2'
_cell_length_a 12.529
_cell_length_b 12.529
_cell_length_c 3.611
_cell_angle_alpha 90.00
_cell_angle_beta 90.00
_cell_angle_gamma 90.00
loop_
_atom_site_label
_atom_site_fract_x
_atom_site_fract_y
_atom_site_fract_z
Tm1 0.000 0.336 0.000
Th1 0.000 0.000 0.000
Th2 0.168 0.168 0.500
```

Results
ρ	10.8	g/cm³
DFT total energy	-5.9904	eV/atom
formation energy from the elements	0.12	eV/atom

---

No. 8
Below is crystalline Tm3Th4 at its relaxed geometry, with properties calculated at the PBE-GGA level.

Geometry as CIF:
```
data_Tm3Th4
_symmetry_space_group_name_H-M 'P 63/m'
_symmetry_Int_Tables_number 176
_symmetry_space_group_name_Hall '-P 6c'
_cell_length_a 12.2927
_cell_length_b 12.2927
_cell_length_c 3.6138
_cell_angle_alpha 90.00
_cell_angle_beta 90.00
_cell_angle_gamma 120.00
loop_
_atom_site_label
_atom_site_fract_x
_atom_site_fract_y
_atom_site_fract_z
Tm1 0.0922 0.4763 0.2500
Th1 0.0744 0.7936 0.2500
Th2 0.3333 0.6667 0.7500
```

Results
ρ	10.1	g/cm³
DFT total energy	-5.7264	eV/atom
formation energy from the elements	0.43	eV/atom

---

No. 9
Below is crystalline Tm6Th at its relaxed geometry, with properties calculated at the PBE-GGA level.

Geometry as CIF:
```
data_Tm6Th
_symmetry_space_group_name_H-M 'I m -3 m'
_symmetry_Int_Tables_number 229
_symmetry_space_group_name_Hall '-I 4 2 3'
_cell_length_a 7.940
_cell_length_b 7.940
_cell_length_c 7.940
_cell_angle_alpha 90.00
_cell_angle_beta 90.00
_cell_angle_gamma 90.00
loop_
_atom_site_label
_atom_site_fract_x
_atom_site_fract_y
_atom_site_fract_z
Tm1 0.000 0.250 0.500
Th1 0.000 0.000 0.000
```

Results
ρ	8.3	g/cm³
DFT total energy	-3.3057	eV/atom
formation energy from the elements	1.59	eV/atom

---

No. 10
Below is crystalline Tm3Th at its relaxed geometry, with properties calculated at the PBE-GGA level.

Geometry as CIF:
```
data_Tm3Th
_symmetry_space_group_name_H-M 'P m -3 m'
_symmetry_Int_Tables_number 221
_symmetry_space_group_name_Hall '-P 4 2 3'
_cell_length_a 4.968
_cell_length_b 4.968
_cell_length_c 4.968
_cell_angle_alpha 90.00
_cell_angle_beta 90.00
_cell_angle_gamma 90.00
loop_
_atom_site_label
_atom_site_fract_x
_atom_site_fract_y
_atom_site_fract_z
Tm1 0.000 0.000 0.500
Th1 0.500 0.500 0.500
```

Results
polymorph energy (0 for the lowest one)	4	kJ/mol of formula units
ρ	10.0	g/cm³
DFT total energy	-5.1733	eV/atom
formation energy from the elements	0.04	eV/atom

---

No. 11
Below is crystalline Tm3Th at its relaxed geometry, with properties calculated at the PBE-GGA level.

Geometry as CIF:
```
data_Tm3Th
_symmetry_space_group_name_H-M 'P 63/m m c'
_symmetry_Int_Tables_number 194
_symmetry_space_group_name_Hall '-P 6c 2c'
_cell_length_a 7.1147
_cell_length_b 7.1147
_cell_length_c 5.6662
_cell_angle_alpha 90.00
_cell_angle_beta 90.00
_cell_angle_gamma 120.00
loop_
_atom_site_label
_atom_site_fract_x
_atom_site_fract_y
_atom_site_fract_z
Tm1 0.1672 0.3344 0.2500
Th1 0.3333 0.6667 0.7500
```

Results
polymorph energy (0 for the lowest one)	5	kJ/mol of formula units
ρ	9.9	g/cm³
DFT total energy	-5.1693	eV/atom
formation energy from the elements	0.04	eV/atom

---

No. 12
Below is crystalline Tm2Th3 at its relaxed geometry, with properties calculated at the PBE-GGA level.

Geometry as CIF:
```
data_Tm2Th3
_symmetry_space_group_name_H-M 'C 1 2/m 1'
_symmetry_Int_Tables_number 12
_cell_length_a 6.492
_cell_length_b 16.505
_cell_length_c 6.163
_cell_angle_alpha 90.00
_cell_angle_beta 91.96
_cell_angle_gamma 90.00
loop_
_symmetry_equiv_pos_as_xyz
'x,y,z'
'-x,-y,-z'
'-x,y,-z'
'x,-y,z'
'x+1/2,y+1/2,z'
'-x+1/2,-y+1/2,-z'
'-x+1/2,y+1/2,-z'
'x+1/2,-y+1/2,z'
loop_
_atom_site_label
_atom_site_fract_x
_atom_site_fract_y
_atom_site_fract_z
Tm1 0.000 0.205 0.000
Tm2 0.250 0.250 0.500
Th1 0.102 0.406 0.755
Th2 0.123 0.000 0.750
```

Results
polymorph energy (0 for the lowest one)	70	kJ/mol of formula units
ρ	10.4	g/cm³
DFT total energy	-5.9817	eV/atom
formation energy from the elements	0.26	eV/atom

---

What is the DFT total energy in the seventh record? -5.9904 eV/atom

---

What is the formation energy from the elements in the eighth record? 0.43 eV/atom

---

Which of these has the highest formation energy from the elements? Tm6Th